MgTaAu2 after structural relaxation, computed with PBE.

Unit cell a=5.3562 b=5.3562 c=5.0258 alpha=103.36 beta=103.36 gamma=31.27
Sites, in units of the cell vectors:
Mg: 0.0000 0.0000 0.0000
Ta: 0.7797 0.7797 0.3781
Au: 0.2482 0.2482 0.8703
Au: 0.5205 0.5205 0.5026

space group = Cm, No. 8

MgTaAu2 after structural relaxation, computed with PBE.

Unit cell a=9.6651 b=9.6651 c=9.6651 alpha=17.80 beta=17.80 gamma=17.80
Sites, in units of the cell vectors:
Mg: 0.0000 0.0000 0.0000
Ta: 0.2437 0.2437 0.2437
Au: 0.4971 0.4971 0.4971
Au: 0.7443 0.7443 0.7443

space group = R3m, No. 160

MgTaAu2 after structural relaxation, computed with PBE.

Unit cell a=4.9410 b=4.9410 c=2.9541 alpha=90.13 beta=90.13 gamma=89.37
Sites, in units of the cell vectors:
Mg: 0.0000 0.0000 0.0000
Ta: 0.5000 0.5000 0.0000
Au: 0.0000 0.5000 0.5000
Au: 0.5000 0.0000 0.5000

space group = C2/m, No. 12

MgTaAu2 after structural relaxation, computed with PBE.

Unit cell a=3.3658 b=3.3658 c=6.3560 alpha=90.00 beta=90.00 gamma=90.00
Sites, in units of the cell vectors:
Mg: 0.0000 0.0000 0.0000
Ta: 0.5000 0.5000 0.2842
Au: 0.0000 0.0000 0.5152
Au: 0.5000 0.5000 0.7890

space group = P4mm, No. 99

| no. | E_tot (eV for the cell shown) | DOS at the Fermi energy (states/eV per cell) | calculated density (g/cm3) |
| --- | --- | --- | --- |
| 1 | -20.5 | 1.670 | 13.69 |
| 2 | -20.0 | 2.560 | 13.50 |
| 3 | -20.8 | 2.611 | 13.80 |
| 4 | -20.2 | 2.476 | 13.82 |